[1]
{
  "formula": "YIn7Hg12",
  "functional": "GGA-PBE",
  "state": "optimized geometry",
  "magmom_total_mub_per_fu": 0.00,
  "sg": "R-3 (148)",
  "formation_enthalpy_0k_ev_per_fu": -0.81,
  "vol_a3_per_cell": 549,
  "lattice_angstrom": [[6.711, 3.875, 3.518], [-6.711, 3.875, 3.518], [0.000, -7.749, 3.518]],
  "species": ["Y", "In", "In", "In", "In", "In", "In", "In", "Hg", "Hg", "Hg", "Hg", "Hg", "Hg", "Hg", "Hg", "Hg", "Hg", "Hg", "Hg"],
  "fractional_positions": [[0.000, 0.000, 0.000], [0.116, 0.406, 0.232], [0.232, 0.116, 0.406], [0.406, 0.232, 0.116], [0.500, 0.500, 0.500], [0.594, 0.768, 0.884], [0.768, 0.884, 0.594], [0.884, 0.594, 0.768], [0.112, 0.732, 0.172], [0.146, 0.442, 0.621], [0.172, 0.112, 0.732], [0.268, 0.828, 0.888], [0.379, 0.854, 0.558], [0.442, 0.621, 0.146], [0.558, 0.379, 0.854], [0.621, 0.146, 0.442], [0.732, 0.172, 0.112], [0.828, 0.888, 0.268], [0.854, 0.558, 0.379], [0.888, 0.268, 0.828]]
}

[2]
{
  "formula": "Y4InRu",
  "functional": "GGA-PBE",
  "state": "optimized geometry",
  "magmom_total_mub_per_fu": 0.00,
  "sg": "F-43m (216)",
  "formation_enthalpy_0k_ev_per_fu": -2.38,
  "vol_a3_per_cell": 639,
  "lattice_angstrom": [[0.000, 6.838, 6.838], [6.838, 0.000, 6.838], [6.838, 6.838, 0.000]],
  "species": ["Y", "Y", "Y", "Y", "Y", "Y", "Y", "Y", "Y", "Y", "Y", "Y", "Y", "Y", "Y", "Y", "In", "In", "In", "In", "Ru", "Ru", "Ru", "Ru"],
  "fractional_positions": [[0.191, 0.191, 0.809], [0.191, 0.809, 0.191], [0.191, 0.809, 0.809], [0.402, 0.402, 0.402], [0.402, 0.402, 0.794], [0.402, 0.794, 0.402], [0.558, 0.558, 0.942], [0.558, 0.942, 0.558], [0.558, 0.942, 0.942], [0.794, 0.402, 0.402], [0.809, 0.191, 0.191], [0.809, 0.191, 0.809], [0.809, 0.809, 0.191], [0.942, 0.558, 0.558], [0.942, 0.558, 0.942], [0.942, 0.942, 0.558], [0.168, 0.168, 0.168], [0.168, 0.168, 0.497], [0.168, 0.497, 0.168], [0.497, 0.168, 0.168], [0.168, 0.611, 0.611], [0.611, 0.168, 0.611], [0.611, 0.611, 0.168], [0.611, 0.611, 0.611]]
}

[3]
{
  "formula": "CaMg6V",
  "functional": "GGA-PBE",
  "state": "optimized geometry",
  "magmom_total_mub_per_fu": 3.76,
  "sg": "Amm2 (38)",
  "formation_enthalpy_0k_ev_per_fu": 1.47,
  "vol_a3_per_cell": 381,
  "lattice_angstrom": [[5.226, 0.000, 0.000], [0.000, 6.535, 0.000], [0.000, 0.000, 11.149]],
  "species": ["Ca", "Ca", "Mg", "Mg", "Mg", "Mg", "Mg", "Mg", "Mg", "Mg", "Mg", "Mg", "Mg", "Mg", "V", "V"],
  "fractional_positions": [[0.000, 0.000, 0.000], [0.000, 0.500, 0.500], [0.000, 0.247, 0.253], [0.000, 0.253, 0.753], [0.000, 0.747, 0.753], [0.000, 0.753, 0.253], [0.500, 0.000, 0.176], [0.500, 0.000, 0.666], [0.500, 0.232, 0.424], [0.500, 0.268, 0.924], [0.500, 0.500, 0.166], [0.500, 0.500, 0.676], [0.500, 0.732, 0.924], [0.500, 0.768, 0.424], [0.000, 0.000, 0.501], [0.000, 0.500, 0.001]]
}

[4]
{
  "formula": "La3Nd4S8",
  "functional": "GGA-PBE",
  "state": "optimized geometry",
  "formation_energy_uncorrected_kj_per_mol_atoms": -202,
  "magmom_total_mub_per_fu": 0.00,
  "sg": "C2/m (12)",
  "vol_a3_per_cell": 391,
  "lattice_angstrom": [[5.805, -5.806, 0.000], [5.805, 5.806, 0.000], [-5.758, 0.000, 5.806]],
  "species": ["La", "La", "La", "Nd", "Nd", "Nd", "Nd", "S", "S", "S", "S", "S", "S", "S", "S"],
  "fractional_positions": [[0.000, 0.000, 0.000], [0.000, 0.500, 0.000], [0.500, 0.000, 0.000], [0.000, 0.500, 0.500], [0.500, 0.000, 0.500], [0.500, 0.500, 0.000], [0.500, 0.500, 0.500], [0.251, 0.749, 0.000], [0.253, 0.253, 0.503], [0.253, 0.747, 0.500], [0.255, 0.255, 0.007], [0.745, 0.745, 0.993], [0.747, 0.253, 0.500], [0.747, 0.747, 0.497], [0.749, 0.251, 0.000]]
}

[5]
{
  "formula": "TmMgSi2Pt5",
  "functional": "GGA-PBE",
  "state": "optimized geometry",
  "formation_energy_uncorrected_kj_per_mol_atoms": -91,
  "magmom_total_mub_per_fu": 0.00,
  "sg": "P4/mmm (123)",
  "vol_a3_per_cell": 147,
  "lattice_angstrom": [[4.087, 0.000, 0.000], [0.000, 4.087, 0.000], [0.000, 0.000, 8.822]],
  "species": ["Tm", "Mg", "Si", "Si", "Pt", "Pt", "Pt", "Pt", "Pt"],
  "fractional_positions": [[0.000, 0.000, 0.000], [0.000, 0.000, 0.500], [0.500, 0.500, 0.132], [0.500, 0.500, 0.868], [0.000, 0.500, 0.272], [0.000, 0.500, 0.728], [0.500, 0.000, 0.272], [0.500, 0.000, 0.728], [0.500, 0.500, 0.500]]
}

[6]
{
  "formula": "CaHo2ScS4",
  "functional": "GGA-PBE",
  "state": "optimized geometry",
  "formation_energy_uncorrected_kj_per_mol_atoms": -189,
  "magmom_total_mub_per_fu": 0.00,
  "sg": "P2/m (10)",
  "vol_a3_per_cell": 163,
  "lattice_angstrom": [[6.695, 0.000, 0.000], [0.000, 3.855, 0.000], [-2.205, 0.000, 6.332]],
  "species": ["Ca", "Ho", "Ho", "Sc", "S", "S", "S", "S"],
  "fractional_positions": [[0.000, 0.000, 0.000], [0.500, 0.000, 0.500], [0.500, 0.500, 0.000], [0.000, 0.500, 0.500], [0.243, 0.000, 0.741], [0.249, 0.500, 0.257], [0.751, 0.500, 0.743], [0.757, 0.000, 0.259]]
}

[7]
{
  "formula": "InRu2Br",
  "functional": "GGA-PBE",
  "state": "optimized geometry",
  "formation_energy_uncorrected_kj_per_mol_atoms": 53,
  "magmom_total_mub_per_fu": 0.38,
  "sg": "R-3m (166)",
  "vol_a3_per_cell": 206,
  "lattice_angstrom": [[3.070, 0.000, 0.000], [-1.535, 2.659, 0.000], [0.000, 0.000, 25.185]],
  "species": ["In", "In", "In", "Ru", "Ru", "Ru", "Ru", "Ru", "Ru", "Br", "Br", "Br"],
  "fractional_positions": [[0.000, 0.000, 0.000], [0.333, 0.667, 0.667], [0.667, 0.333, 0.333], [0.000, 0.000, 0.247], [0.000, 0.000, 0.753], [0.333, 0.667, 0.420], [0.333, 0.667, 0.914], [0.667, 0.333, 0.086], [0.667, 0.333, 0.580], [0.000, 0.000, 0.500], [0.333, 0.667, 0.167], [0.667, 0.333, 0.833]]
}

[8]
{
  "formula": "BeSn2Pt2",
  "functional": "GGA-PBE",
  "state": "optimized geometry",
  "magmom_total_mub_per_fu": 0.00,
  "sg": "P4/mbm (127)",
  "formation_enthalpy_0k_ev_per_fu": -0.91,
  "vol_a3_per_cell": 184,
  "lattice_angstrom": [[6.510, 0.000, 0.000], [0.000, 6.510, 0.000], [0.000, 0.000, 4.351]],
  "species": ["Be", "Be", "Sn", "Sn", "Sn", "Sn", "Pt", "Pt", "Pt", "Pt"],
  "fractional_positions": [[0.000, 0.000, 0.000], [0.500, 0.500, 0.000], [0.164, 0.336, 0.500], [0.336, 0.836, 0.500], [0.664, 0.164, 0.500], [0.836, 0.664, 0.500], [0.160, 0.660, 0.000], [0.340, 0.160, 0.000], [0.660, 0.840, 0.000], [0.840, 0.340, 0.000]]
}

[9]
{
  "formula": "BaZn2Hg2",
  "functional": "GGA-PBE",
  "state": "optimized geometry",
  "magmom_total_mub_per_fu": 0.00,
  "sg": "I4/mmm (139)",
  "formation_enthalpy_0k_ev_per_fu": -1.36,
  "vol_a3_per_cell": 259,
  "lattice_angstrom": [[4.850, 0.000, 0.000], [0.000, 4.850, 0.000], [0.000, 0.000, 11.001]],
  "species": ["Ba", "Ba", "Zn", "Zn", "Zn", "Zn", "Hg", "Hg", "Hg", "Hg"],
  "fractional_positions": [[0.000, 0.000, 0.000], [0.500, 0.500, 0.500], [0.000, 0.000, 0.384], [0.000, 0.000, 0.616], [0.500, 0.500, 0.116], [0.500, 0.500, 0.884], [0.000, 0.500, 0.250], [0.000, 0.500, 0.750], [0.500, 0.000, 0.250], [0.500, 0.000, 0.750]]
}

[10]
{
  "formula": "Pm3TeHC",
  "functional": "GGA-PBE",
  "state": "optimized geometry",
  "e_tot_ev_per_atom": -5.711,
  "magmom_total_mub_per_fu": 0.00,
  "sg": "P2_1/m (11)",
  "vol_a3_per_cell": 276,
  "lattice_angstrom": [[8.433, 0.000, 0.000], [0.000, 3.927, 0.000], [-2.248, 0.000, 8.326]],
  "species": ["Pm", "Pm", "Pm", "Pm", "Pm", "Pm", "Te", "Te", "H", "H", "C", "C"],
  "fractional_positions": [[0.043, 0.250, 0.344], [0.283, 0.250, 0.955], [0.363, 0.750, 0.637], [0.637, 0.250, 0.363], [0.717, 0.750, 0.045], [0.957, 0.750, 0.656], [0.319, 0.750, 0.262], [0.681, 0.250, 0.738], [0.420, 0.750, 0.916], [0.580, 0.250, 0.084], [0.167, 0.250, 0.654], [0.833, 0.750, 0.346]]
}

[11]
{
  "formula": "Zr2ScAl",
  "functional": "GGA-PBE",
  "state": "optimized geometry",
  "magmom_total_mub_per_fu": 0.00,
  "sg": "P4/mmm (123)",
  "formation_enthalpy_0k_ev_per_fu": -1.10,
  "vol_a3_per_cell": 84,
  "lattice_angstrom": [[4.384, 0.000, 0.000], [0.000, 4.384, 0.000], [0.000, 0.000, 4.370]],
  "species": ["Zr", "Zr", "Sc", "Al"],
  "fractional_positions": [[0.000, 0.500, 0.000], [0.500, 0.000, 0.000], [0.000, 0.000, 0.500], [0.500, 0.500, 0.500]]
}

[12]
{
  "formula": "KCr3C",
  "functional": "GGA-PBE",
  "state": "optimized geometry",
  "magmom_total_mub_per_fu": 10.91,
  "sg": "Pm-3m (221)",
  "formation_enthalpy_0k_ev_per_fu": 5.58,
  "vol_a3_per_cell": 83,
  "lattice_angstrom": [[4.355, 0.000, 0.000], [0.000, 4.355, 0.000], [0.000, 0.000, 4.355]],
  "species": ["K", "Cr", "Cr", "Cr", "C"],
  "fractional_positions": [[0.000, 0.000, 0.000], [0.000, 0.500, 0.500], [0.500, 0.000, 0.500], [0.500, 0.500, 0.000], [0.500, 0.500, 0.500]]
}

[13]
{
  "formula": "AsH3I",
  "functional": "GGA-PBE",
  "state": "optimized geometry",
  "e_tot_ev_per_atom": -3.161,
  "magmom_total_mub_per_fu": 0.22,
  "sg": "P2_1/m (11)",
  "vol_a3_per_cell": 227,
  "lattice_angstrom": [[4.943, 0.000, 0.000], [0.000, 5.505, 0.000], [-2.206, 0.000, 8.345]],
  "species": ["As", "As", "H", "H", "H", "H", "H", "H", "I", "I"],
  "fractional_positions": [[0.001, 0.250, 0.493], [0.999, 0.750, 0.507], [0.169, 0.750, 0.265], [0.192, 0.750, 0.678], [0.268, 0.250, 0.433], [0.732, 0.750, 0.567], [0.808, 0.250, 0.322], [0.831, 0.250, 0.735], [0.352, 0.750, 0.129], [0.648, 0.250, 0.871]]
}

[14]
{
  "formula": "BrO",
  "functional": "GGA-PBE",
  "state": "optimized geometry",
  "formation_energy_uncorrected_kj_per_mol_atoms": 40,
  "magmom_total_mub_per_fu": 0.31,
  "sg": "I4/m (87)",
  "vol_a3_per_cell": 361,
  "lattice_angstrom": [[10.976, 0.000, 0.000], [0.000, 10.976, 0.000], [0.000, 0.000, 2.996]],
  "species": ["Br", "Br", "Br", "Br", "Br", "Br", "Br", "Br", "O", "O", "O", "O", "O", "O", "O", "O"],
  "fractional_positions": [[0.032, 0.233, 0.000], [0.233, 0.968, 0.000], [0.267, 0.532, 0.500], [0.468, 0.267, 0.500], [0.532, 0.733, 0.500], [0.733, 0.468, 0.500], [0.767, 0.032, 0.000], [0.968, 0.767, 0.000], [0.126, 0.752, 0.000], [0.248, 0.126, 0.000], [0.252, 0.374, 0.500], [0.374, 0.748, 0.500], [0.626, 0.252, 0.500], [0.748, 0.626, 0.500], [0.752, 0.874, 0.000], [0.874, 0.248, 0.000]]
}

[15]
{
  "formula": "HfReBIr2",
  "functional": "GGA-PBE",
  "state": "optimized geometry",
  "magmom_total_mub_per_fu": 0.00,
  "sg": "P4/mmm (123)",
  "formation_enthalpy_0k_ev_per_fu": -2.47,
  "vol_a3_per_cell": 72,
  "lattice_angstrom": [[4.118, 0.000, 0.000], [0.000, 4.118, 0.000], [0.000, 0.000, 4.250]],
  "species": ["Hf", "Re", "B", "Ir", "Ir"],
  "fractional_positions": [[0.000, 0.000, 0.000], [0.500, 0.500, 0.000], [0.500, 0.500, 0.500], [0.000, 0.500, 0.500], [0.500, 0.000, 0.500]]
}

[16]
{
  "formula": "CePmNdAg",
  "functional": "GGA-PBE",
  "state": "optimized geometry",
  "magmom_total_mub_per_fu": 2.20,
  "sg": "F-43m (216)",
  "formation_enthalpy_0k_ev_per_fu": 0.53,
  "vol_a3_per_cell": 456,
  "lattice_angstrom": [[7.696, 0.000, 0.000], [0.000, 7.696, 0.000], [0.000, 0.000, 7.696]],
  "species": ["Ce", "Ce", "Ce", "Ce", "Pm", "Pm", "Pm", "Pm", "Nd", "Nd", "Nd", "Nd", "Ag", "Ag", "Ag", "Ag"],
  "fractional_positions": [[0.000, 0.000, 0.000], [0.000, 0.500, 0.500], [0.500, 0.000, 0.500], [0.500, 0.500, 0.000], [0.250, 0.250, 0.250], [0.250, 0.750, 0.750], [0.750, 0.250, 0.750], [0.750, 0.750, 0.250], [0.000, 0.000, 0.500], [0.000, 0.500, 0.000], [0.500, 0.000, 0.000], [0.500, 0.500, 0.500], [0.250, 0.250, 0.750], [0.250, 0.750, 0.250], [0.750, 0.250, 0.250], [0.750, 0.750, 0.750]]
}

[17]
{
  "formula": "SrPmGeSb",
  "functional": "GGA-PBE",
  "state": "optimized geometry",
  "formation_energy_uncorrected_kj_per_mol_atoms": -56,
  "magmom_total_mub_per_fu": 0.00,
  "sg": "F-43m (216)",
  "vol_a3_per_cell": 464,
  "lattice_angstrom": [[7.740, 0.000, 0.000], [0.000, 7.740, 0.000], [0.000, 0.000, 7.740]],
  "species": ["Sr", "Sr", "Sr", "Sr", "Pm", "Pm", "Pm", "Pm", "Ge", "Ge", "Ge", "Ge", "Sb", "Sb", "Sb", "Sb"],
  "fractional_positions": [[0.000, 0.000, 0.000], [0.000, 0.500, 0.500], [0.500, 0.000, 0.500], [0.500, 0.500, 0.000], [0.000, 0.000, 0.500], [0.000, 0.500, 0.000], [0.500, 0.000, 0.000], [0.500, 0.500, 0.500], [0.250, 0.250, 0.750], [0.250, 0.750, 0.250], [0.750, 0.250, 0.250], [0.750, 0.750, 0.750], [0.250, 0.250, 0.250], [0.250, 0.750, 0.750], [0.750, 0.250, 0.750], [0.750, 0.750, 0.250]]
}

[18]
{
  "formula": "Zn2Ni2Ir",
  "functional": "GGA-PBE",
  "state": "optimized geometry",
  "magmom_total_mub_per_fu": 0.00,
  "sg": "I4/mmm (139)",
  "formation_enthalpy_0k_ev_per_fu": 1.66,
  "vol_a3_per_cell": 136,
  "lattice_angstrom": [[3.394, 0.000, 0.000], [0.000, 3.394, 0.000], [0.000, 0.000, 11.788]],
  "species": ["Zn", "Zn", "Zn", "Zn", "Ni", "Ni", "Ni", "Ni", "Ir", "Ir"],
  "fractional_positions": [[0.000, 0.500, 0.250], [0.000, 0.500, 0.750], [0.500, 0.000, 0.250], [0.500, 0.000, 0.750], [0.000, 0.000, 0.096], [0.000, 0.000, 0.904], [0.500, 0.500, 0.404], [0.500, 0.500, 0.596], [0.000, 0.000, 0.500], [0.500, 0.500, 0.000]]
}

[19]
{
  "formula": "Zr3NbZn2",
  "functional": "GGA-PBE",
  "state": "optimized geometry",
  "magmom_total_mub_per_fu": 0.00,
  "sg": "P4/mmm (123)",
  "formation_enthalpy_0k_ev_per_fu": -0.98,
  "vol_a3_per_cell": 116,
  "lattice_angstrom": [[3.431, 0.000, 0.000], [0.000, 3.431, 0.000], [0.000, 0.000, 9.888]],
  "species": ["Zr", "Zr", "Zr", "Nb", "Zn", "Zn"],
  "fractional_positions": [[0.000, 0.000, 0.000], [0.000, 0.000, 0.331], [0.000, 0.000, 0.669], [0.500, 0.500, 0.500], [0.500, 0.500, 0.166], [0.500, 0.500, 0.834]]
}

[20]
{
  "formula": "NaPPb3",
  "functional": "GGA-PBE",
  "state": "optimized geometry",
  "magmom_total_mub_per_fu": 0.00,
  "sg": "Pm-3m (221)",
  "formation_enthalpy_0k_ev_per_fu": 4.24,
  "vol_a3_per_cell": 161,
  "lattice_angstrom": [[5.437, 0.000, 0.000], [0.000, 5.437, 0.000], [0.000, 0.000, 5.437]],
  "species": ["Na", "P", "Pb", "Pb", "Pb"],
  "fractional_positions": [[0.000, 0.000, 0.000], [0.500, 0.500, 0.500], [0.000, 0.000, 0.500], [0.000, 0.500, 0.000], [0.500, 0.000, 0.000]]
}